# 1
A relaxed structure of Mg3HgSe, computed with PBE-GGA.

## Properties
raw formation energy	-0.062	eV/atom
space-group type	Pm-3m
final energy	-8.882	eV for the cell shown
ΔE to the lowest computed polymorph	0	meV/atom

```
Mg3HgSe
1.0
5.066 0.000 0.000
0.000 5.066 0.000
0.000 0.000 5.066
Mg Hg Se
3 1 1
Direct
0.000 0.000 0.500
0.000 0.500 0.000
0.500 0.000 0.000
0.500 0.500 0.500
0.000 0.000 0.000
```


# 2
A relaxed structure of Ag2Sb2Te, computed with PBE-GGA.

## Properties
raw formation energy	0.142	eV/atom
space-group type	P4/mbm
final energy	-32.760	eV for the cell shown
ΔE to the lowest computed polymorph	0	meV/atom

```
Ag2Sb2Te
1.0
8.859 0.000 0.000
0.000 8.859 0.000
0.000 0.000 3.186
Ag Sb Te
4 4 2
Direct
0.114 0.386 0.000
0.386 0.886 0.000
0.614 0.114 0.000
0.886 0.614 0.000
0.185 0.685 0.500
0.315 0.185 0.500
0.685 0.815 0.500
0.815 0.315 0.500
0.000 0.000 0.500
0.500 0.500 0.500
```